No. 1
A plane-wave DFT calculation with PBE was carried out for a geometry-optimized Nd7Y2Er3 structure.

## Properties
symmetry: No. 10
total DFT energy (no corrections): -58.89 eV for the cell shown
calculated volume: 33.887 Å³ per atom

Cell lengths 3.6281, 5.8813, 19.6001 Å; angles 103.51, 90.00, 90.00 degrees
Closest atoms and distances in Å follow each position.
Fractional coordinates of all 12 atoms:
Er (0.0000, 0.8474, 0.6316)  2 Er 3.63, 8 Nd 3.65-3.96, 4 Y 3.69-3.72
Nd (0.0000, 0.5269, 0.8555)  2 Er 3.40, 2 Y 3.44, 7 Nd 3.48-3.63
Y (0.5000, 0.4057, 0.7019)  3 Nd 3.19-3.44
Nd (0.5000, 0.2762, 0.5345)  1 Y 3.19, 2 Nd 3.21-3.23
Nd (0.0000, 0.0000, 0.0000)  4 Er 3.46, 4 Nd 3.48-3.63
Y (0.5000, 0.5943, 0.2981)  3 Nd 3.19-3.44
Nd (0.5000, 0.0090, 0.1836)  6 Nd 3.51-3.63, 2 Y 3.64-3.68
Er (0.0000, 0.1526, 0.3684)  2 Er 3.63, 8 Nd 3.65-3.96, 4 Y 3.69-3.72
Nd (0.0000, 0.4731, 0.1445)  2 Er 3.40, 2 Y 3.44, 7 Nd 3.48-3.63
Nd (0.5000, 0.7238, 0.4655)  1 Y 3.19, 2 Nd 3.21-3.23
Er (0.5000, 0.5000, 0.0000)  8 Nd 3.40-3.46, 2 Er 3.63
Nd (0.5000, 0.9910, 0.8164)  6 Nd 3.51-3.63, 2 Y 3.64-3.68

No. 2
A plane-wave DFT calculation with PBE was carried out for a geometry-optimized TaOs structure.

## Properties
symmetry: No. 227
total DFT energy (no corrections): -46.04 eV for the cell shown
calculated volume: 16.121 Å³ per atom

Cell lengths 4.5014, 4.5014, 4.5014 Å; angles 59.99, 59.99, 59.99 degrees
Closest atoms and distances in Å follow each position.
Fractional coordinates of all 4 atoms:
Ta (0.3750, 0.3750, 0.3750)  4 Ta 2.76, 4 Os 2.76
Os (0.1250, 0.1250, 0.1250)  4 Os 2.76, 4 Ta 2.76
Os (0.8750, 0.8750, 0.8750)  4 Os 2.76, 4 Ta 2.76
Ta (0.6250, 0.6250, 0.6250)  4 Ta 2.76, 4 Os 2.76

no.,calculated formation energy (meV per atom)
1,92
2,31